Below is crystalline MnGaPbO2 at its relaxed geometry, with properties calculated at the PBE with a Hubbard U level.

Values from the calculation:
For the density of states at the Fermi level, the calculation gives 2.59 states/eV/f.u. Its space-group type is P4/mmm, No. 123. For the calculated total energy, the calculation gives -0.3630 Ry per atom. The total magnetization comes out at 4.08 μB per formula unit.

Cell lengths 3.8955, 3.8955, 5.8787 Å; angles 90.00, 90.00, 90.00 degrees
Atoms (fractional coordinates):
Mn 0.0000 0.0000 0.0000
Ga 0.5000 0.5000 0.5000
Pb 0.5000 0.5000 0.0000
O 0.0000 0.5000 0.5000
O 0.5000 0.0000 0.5000